1.
# TaCr2Ag | the Alexandria database | GGA-PBE | relaxed
# **Symmetry**: Cmmm
# **DOS at the Fermi energy**: 4.0 states/eV/f.u.
# **Energy above the most stable polymorph in this dataset**: 343.6 meV per atom
# **Calculated formation energy**: 58.7 kJ/mol of atoms
data_TaCr2Ag
_chemical_formula_sum 'Ta1 Cr2 Ag1'
_space_group_name_H-M_alt 'P 1'
_space_group_IT_number 1
_space_group_name_Hall 'P 1'
_cell_length_a 4.947
_cell_length_b 4.947
_cell_length_c 2.642
_cell_angle_alpha 90.00
_cell_angle_beta 90.00
_cell_angle_gamma 112.15
loop_
_atom_site_label
_atom_site_type_symbol
_atom_site_fract_x
_atom_site_fract_y
_atom_site_fract_z
Ta1 Ta 0.000 0.000 0.000
Cr1 Cr 0.000 0.500 0.500
Cr2 Cr 0.500 0.000 0.500
Ag1 Ag 0.500 0.500 0.000


2.
# SmTm4Lu | the Alexandria database | GGA-PBE | relaxed
# **Symmetry**: F-43m
# **DOS at the Fermi energy**: 10.1 states/eV/f.u.
# **Calculated formation energy**: 26.3 kJ/mol of atoms
data_SmTm4Lu
_chemical_formula_sum 'Sm1 Tm4 Lu1'
_space_group_name_H-M_alt 'P 1'
_space_group_IT_number 1
_space_group_name_Hall 'P 1'
_cell_length_a 6.496
_cell_length_b 6.496
_cell_length_c 6.496
_cell_angle_alpha 60.00
_cell_angle_beta 60.00
_cell_angle_gamma 60.00
loop_
_atom_site_label
_atom_site_type_symbol
_atom_site_fract_x
_atom_site_fract_y
_atom_site_fract_z
Sm1 Sm 0.000 0.000 0.000
Tm1 Tm 0.126 0.625 0.625
Tm2 Tm 0.625 0.126 0.625
Tm3 Tm 0.625 0.625 0.126
Tm4 Tm 0.625 0.625 0.625
Lu1 Lu 0.250 0.250 0.250


3.
# Pr3NdTm8 | the Alexandria database | GGA-PBE | relaxed
# **Symmetry**: Immm
# **DOS at the Fermi energy**: 17.0 states/eV/f.u.
# **Calculated formation energy**: 27.2 kJ/mol of atoms
data_Pr3NdTm8
_chemical_formula_sum 'Pr3 Nd1 Tm8'
_space_group_name_H-M_alt 'P 1'
_space_group_IT_number 1
_space_group_name_Hall 'P 1'
_cell_length_a 8.658
_cell_length_b 8.658
_cell_length_c 8.658
_cell_angle_alpha 136.70
_cell_angle_beta 97.99
_cell_angle_gamma 97.66
loop_
_atom_site_label
_atom_site_type_symbol
_atom_site_fract_x
_atom_site_fract_y
_atom_site_fract_z
Pr1 Pr 0.000 0.000 0.000
Pr2 Pr 0.250 0.750 0.500
Pr3 Pr 0.750 0.250 0.500
Nd1 Nd 0.500 0.500 0.000
Tm1 Tm 0.077 0.250 0.827
Tm2 Tm 0.251 0.250 0.501
Tm3 Tm 0.251 0.750 0.001
Tm4 Tm 0.423 0.250 0.173
Tm5 Tm 0.577 0.750 0.827
Tm6 Tm 0.749 0.250 0.999
Tm7 Tm 0.749 0.750 0.499
Tm8 Tm 0.923 0.750 0.173


4.
# SrTcI2 | the Alexandria database | GGA-PBE | relaxed
# **Symmetry**: Fm-3m
# **DOS at the Fermi energy**: 1.3 states/eV/f.u.
# **Energy above the most stable polymorph in this dataset**: 0.0 meV per atom
# **Formation energy from raw total energies**: 0.18 eV/f.u.
data_SrTcI2
_chemical_formula_sum 'Sr1 Tc1 I2'
_space_group_name_H-M_alt 'P 1'
_space_group_IT_number 1
_space_group_name_Hall 'P 1'
_cell_length_a 5.442
_cell_length_b 5.442
_cell_length_c 5.442
_cell_angle_alpha 60.00
_cell_angle_beta 60.00
_cell_angle_gamma 60.00
loop_
_atom_site_label
_atom_site_type_symbol
_atom_site_fract_x
_atom_site_fract_y
_atom_site_fract_z
Sr1 Sr 0.000 0.000 0.000
Tc1 Tc 0.500 0.500 0.500
I1 I 0.250 0.250 0.250
I2 I 0.750 0.750 0.750


5.
# Fe2AuI6 | the Alexandria database | GGA-PBE | relaxed
# **Symmetry**: C2/c
# **DOS at the Fermi energy**: 5.8 states/eV/f.u.
# **Formation energy from raw total energies**: -0.92 eV/f.u.
data_Fe2AuI6
_chemical_formula_sum 'Fe4 Au2 I12'
_space_group_name_H-M_alt 'P 1'
_space_group_IT_number 1
_space_group_name_Hall 'P 1'
_cell_length_a 10.758
_cell_length_b 10.758
_cell_length_c 7.228
_cell_angle_alpha 106.41
_cell_angle_beta 106.41
_cell_angle_gamma 89.70
loop_
_atom_site_label
_atom_site_type_symbol
_atom_site_fract_x
_atom_site_fract_y
_atom_site_fract_z
Fe1 Fe 0.133 0.296 0.317
Fe2 Fe 0.296 0.133 0.817
Fe3 Fe 0.704 0.867 0.183
Fe4 Fe 0.867 0.704 0.683
Au1 Au 0.273 0.727 0.750
Au2 Au 0.727 0.273 0.250
I1 I 0.088 0.223 0.614
I2 I 0.088 0.656 0.897
I3 I 0.223 0.088 0.114
I4 I 0.297 0.489 0.432
I5 I 0.344 0.912 0.603
I6 I 0.489 0.297 0.932
I7 I 0.511 0.703 0.068
I8 I 0.656 0.088 0.397
I9 I 0.703 0.511 0.568
I10 I 0.777 0.912 0.886
I11 I 0.912 0.344 0.103
I12 I 0.912 0.777 0.386


6.
# TaVPd | the Alexandria database | GGA-PBE | relaxed
# **Symmetry**: Pm
# **DOS at the Fermi energy**: 3.9 states/eV/f.u.
# **Energy above the most stable polymorph in this dataset**: 233.3 meV per atom
# **Calculated formation energy**: 0.2 kJ/mol of atoms
data_TaVPd
_chemical_formula_sum 'Ta4 V4 Pd4'
_space_group_name_H-M_alt 'P 1'
_space_group_IT_number 1
_space_group_name_Hall 'P 1'
_cell_length_a 5.015
_cell_length_b 2.768
_cell_length_c 13.957
_cell_angle_alpha 90.00
_cell_angle_beta 100.23
_cell_angle_gamma 90.00
loop_
_atom_site_label
_atom_site_type_symbol
_atom_site_fract_x
_atom_site_fract_y
_atom_site_fract_z
Ta1 Ta 0.000 0.000 0.000
Ta2 Ta 0.024 0.500 0.332
Ta3 Ta 0.524 0.000 0.335
Ta4 Ta 0.848 0.500 0.516
V1 V 0.172 0.000 0.835
V2 V 0.347 0.000 0.512
V3 V 0.499 0.500 0.995
V4 V 0.656 0.500 0.841
Pd1 Pd 0.260 0.500 0.165
Pd2 Pd 0.262 0.500 0.675
Pd3 Pd 0.749 0.000 0.159
Pd4 Pd 0.758 0.000 0.683


7.
# H6Pd5Au | the Alexandria database | GGA-PBE | relaxed
# **Symmetry**: C2/m
# **DOS at the Fermi energy**: 3.1 states/eV/f.u.
# **E_tot**: -4.142 eV/atom
data_H6Pd5Au
_chemical_formula_sum 'H6 Pd5 Au1'
_space_group_name_H-M_alt 'P 1'
_space_group_IT_number 1
_space_group_name_Hall 'P 1'
_cell_length_a 5.103
_cell_length_b 5.103
_cell_length_c 5.203
_cell_angle_alpha 101.58
_cell_angle_beta 101.58
_cell_angle_gamma 117.42
loop_
_atom_site_label
_atom_site_type_symbol
_atom_site_fract_x
_atom_site_fract_y
_atom_site_fract_z
H1 H 0.009 0.633 0.750
H2 H 0.239 0.239 0.817
H3 H 0.367 0.991 0.250
H4 H 0.633 0.009 0.750
H5 H 0.761 0.761 0.183
H6 H 0.991 0.367 0.250
Pd1 Pd 0.000 0.000 0.000
Pd2 Pd 0.168 0.832 0.500
Pd3 Pd 0.336 0.664 0.000
Pd4 Pd 0.664 0.336 0.000
Pd5 Pd 0.832 0.168 0.500
Au1 Au 0.500 0.500 0.500


8.
# CdSiN | the Alexandria database | GGA-PBE | relaxed
# **Symmetry**: P1
# **DOS at the Fermi energy**: 0.8 states/eV/f.u.
# **Energy above the most stable polymorph in this dataset**: 167.2 meV per atom
# **Formation energy from raw total energies**: -0.06 eV/f.u.
data_CdSiN
_chemical_formula_sum 'Cd1 Si1 N1'
_space_group_name_H-M_alt 'P 1'
_space_group_IT_number 1
_space_group_name_Hall 'P 1'
_cell_length_a 2.917
_cell_length_b 3.850
_cell_length_c 5.491
_cell_angle_alpha 109.28
_cell_angle_beta 103.69
_cell_angle_gamma 94.40
loop_
_atom_site_label
_atom_site_type_symbol
_atom_site_fract_x
_atom_site_fract_y
_atom_site_fract_z
Cd1 Cd 0.000 0.000 0.000
Si1 Si 0.813 0.313 0.627
N1 N 0.222 0.222 0.444


9.
# In2GeBi2 | the Alexandria database | GGA-PBE | relaxed
# **Symmetry**: I4/mmm
# **DOS at the Fermi energy**: 2.8 states/eV/f.u.
# **Energy above the most stable polymorph in this dataset**: 11.1 meV per atom
# **Calculated formation energy**: 22.7 kJ/mol of atoms
data_In2GeBi2
_chemical_formula_sum 'In2 Ge1 Bi2'
_space_group_name_H-M_alt 'P 1'
_space_group_IT_number 1
_space_group_name_Hall 'P 1'
_cell_length_a 9.280
_cell_length_b 9.280
_cell_length_c 9.280
_cell_angle_alpha 154.37
_cell_angle_beta 154.37
_cell_angle_gamma 36.56
loop_
_atom_site_label
_atom_site_type_symbol
_atom_site_fract_x
_atom_site_fract_y
_atom_site_fract_z
In1 In 0.250 0.750 0.500
In2 In 0.750 0.250 0.500
Ge1 Ge 0.000 0.000 0.000
Bi1 Bi 0.412 0.412 0.000
Bi2 Bi 0.588 0.588 0.000


10.
# UCuSe3 | the Alexandria database | GGA-PBE | relaxed
# **Symmetry**: Cmcm
# **DOS at the Fermi energy**: 4.0 states/eV/f.u.
# **Energy above the most stable polymorph in this dataset**: 0.0 meV per atom
# **Formation energy from raw total energies**: -3.77 eV/f.u.
data_UCuSe3
_chemical_formula_sum 'U2 Cu2 Se6'
_space_group_name_H-M_alt 'P 1'
_space_group_IT_number 1
_space_group_name_Hall 'P 1'
_cell_length_a 6.852
_cell_length_b 6.852
_cell_length_c 9.085
_cell_angle_alpha 90.00
_cell_angle_beta 90.00
_cell_angle_gamma 147.22
loop_
_atom_site_label
_atom_site_type_symbol
_atom_site_fract_x
_atom_site_fract_y
_atom_site_fract_z
U1 U 0.241 0.759 0.750
U2 U 0.759 0.241 0.250
Cu1 Cu 0.021 0.979 0.250
Cu2 Cu 0.979 0.021 0.750
Se1 Se 0.157 0.843 0.068
Se2 Se 0.157 0.843 0.432
Se3 Se 0.414 0.586 0.250
Se4 Se 0.586 0.414 0.750
Se5 Se 0.843 0.157 0.568
Se6 Se 0.843 0.157 0.932


11.
# ZrZn2As | the Alexandria database | GGA-PBE | relaxed
# **Symmetry**: P4/mmm
# **DOS at the Fermi energy**: 2.8 states/eV/f.u.
# **Calculated formation energy**: 0.5 kJ/mol of atoms
data_ZrZn2As
_chemical_formula_sum 'Zr1 Zn2 As1'
_space_group_name_H-M_alt 'P 1'
_space_group_IT_number 1
_space_group_name_Hall 'P 1'
_cell_length_a 2.959
_cell_length_b 2.959
_cell_length_c 8.447
_cell_angle_alpha 90.00
_cell_angle_beta 90.00
_cell_angle_gamma 90.00
loop_
_atom_site_label
_atom_site_type_symbol
_atom_site_fract_x
_atom_site_fract_y
_atom_site_fract_z
Zr1 Zr 0.000 0.000 0.000
Zn1 Zn 0.500 0.500 0.249
Zn2 Zn 0.500 0.500 0.751
As1 As 0.000 0.000 0.500


12.
# Hf2TaIn | the Alexandria database | GGA-PBE | relaxed
# **Symmetry**: R-3m
# **DOS at the Fermi energy**: 3.3 states/eV/f.u.
# **Calculated formation energy**: 3.7 kJ/mol of atoms
data_Hf2TaIn
_chemical_formula_sum 'Hf2 Ta1 In1'
_space_group_name_H-M_alt 'P 1'
_space_group_IT_number 1
_space_group_name_Hall 'P 1'
_cell_length_a 10.025
_cell_length_b 10.025
_cell_length_c 10.025
_cell_angle_alpha 18.26
_cell_angle_beta 18.26
_cell_angle_gamma 18.26
loop_
_atom_site_label
_atom_site_type_symbol
_atom_site_fract_x
_atom_site_fract_y
_atom_site_fract_z
Hf1 Hf 0.246 0.246 0.246
Hf2 Hf 0.754 0.754 0.754
Ta1 Ta 0.500 0.500 0.500
In1 In 0.000 0.000 0.000